A plane-wave DFT calculation with PBE with a Hubbard U was carried out for a relaxed structure of Rb4V5CdClO15.

```
Rb4V5CdClO15
1.0
9.2716 0.0000 0.0000
0.0000 9.2716 0.0000
0.0000 0.0000 5.8180
Rb O V Cd Cl
4 15 5 1 1
Cartesian
1.5141 6.2747 5.4503
6.2747 7.7575 5.4503
7.7575 2.9969 5.4503
2.9969 1.5141 5.4503
4.6358 4.6358 1.2152
3.5523 7.9506 1.0151
4.6358 0.0000 3.3214
7.9506 5.7193 1.0151
5.1376 2.8738 3.3422
1.9669 8.2264 3.2833
5.7193 1.3210 1.0151
0.0000 4.6358 3.3214
4.1340 6.3978 3.3422
1.3210 3.5523 1.0151
7.3047 1.0452 3.2833
6.3978 5.1376 3.3422
8.2264 7.3047 3.2833
2.8738 4.1340 3.3422
1.0452 1.9669 3.2833
1.3208 3.5374 2.6826
5.7342 1.3208 2.6826
7.9508 5.7342 2.6826
3.5374 7.9508 2.6826
4.6358 4.6358 2.8373
0.0000 0.0000 2.8237
0.0000 0.0000 0.2637
```

Values from the calculation:
Total DFT energy (no corrections) = -168.15 eV for the cell shown